Computed, not measured: a relaxed structure of AlSi2Pb at the PBEsol level of DFT.

The space group is I-42d (No. 122) and the conventional cell measures 5.846, 5.846 and 12.097 Å, with angles of 90.00, 90.00 and 90.00 degrees. The asymmetric unit holds Al at (0.000, 0.000, 0.000), Si at (0.219, 0.250, 0.125) and Pb at (0.000, 0.000, 0.500).

The value obtained for the polymorph energy (0 for the lowest one) is 87 meV per atom. Its uncorrected energy is -71.4 eV for the cell shown. Its formation energy without anion corrections is 0.4340 eV per atom.

=====

Computed, not measured: a relaxed structure of AlSi2Pb at the PBEsol level of DFT.

The space group is P2/m (No. 10) and the conventional cell measures 3.597, 4.509 and 5.236 Å, with angles of 90.00, 91.85 and 90.00 degrees. The asymmetric unit holds Al at (0.000, 0.000, 0.000), Si at (0.253, 0.500, 0.844) and Pb at (0.500, 0.000, 0.500).

The value obtained for the polymorph energy (0 for the lowest one) is 0 meV per atom. Its uncorrected energy is -18.2 eV for the cell shown. Its formation energy without anion corrections is 0.3473 eV per atom.

=====

Computed, not measured: a relaxed structure of Al2SiPb at the PBEsol level of DFT.

The space group is C2/m (No. 12) and the conventional cell measures 5.780, 10.256 and 3.211 Å, with angles of 90.00, 121.81 and 90.00 degrees. The asymmetric unit holds Al at (0.250, 0.250, 0.000), Si at (0.000, 0.000, 0.500) and Pb at (0.000, 0.500, 0.500).

The value obtained for the polymorph energy (0 for the lowest one) is 145 meV per atom. Its uncorrected energy is -32.6 eV for the cell shown. Its formation energy without anion corrections is 0.4092 eV per atom.

=====

Computed, not measured: a relaxed structure of AlSi2Pb at the PBEsol level of DFT.

The space group is R-3m (No. 166, hexagonal axes) and the conventional cell measures 3.1378, 3.1378 and 27.6764 Å, with angles of 90.00, 90.00 and 120.00 degrees. The asymmetric unit holds Al at (0.0000, 0.0000, 0.0000), Si at (0.0000, 0.0000, 0.2633) and Pb at (0.0000, 0.0000, 0.5000).

The value obtained for the polymorph energy (0 for the lowest one) is 55 meV per atom. Its uncorrected energy is -53.9 eV for the cell shown. Its formation energy without anion corrections is 0.4024 eV per atom.

=====

Computed, not measured: a relaxed structure of Al2SiPb at the PBEsol level of DFT.

The space group is P4mm (No. 99) and the conventional cell measures 3.230, 3.230 and 7.597 Å, with angles of 90.00, 90.00 and 90.00 degrees. The asymmetric unit holds Al at (0.000, 0.000, 0.000), Al at (0.500, 0.500, 0.217), Si at (0.500, 0.500, 0.820) and Pb at (0.000, 0.000, 0.522).

The value obtained for the polymorph energy (0 for the lowest one) is 0 meV per atom. Its uncorrected energy is -16.9 eV for the cell shown. Its formation energy without anion corrections is 0.2646 eV per atom.

=====

Computed, not measured: a relaxed structure of AlSiSnPb2 at the PBEsol level of DFT.

The space group is P4/mmm (No. 123) and the conventional cell measures 5.292, 5.292 and 5.139 Å, with angles of 90.00, 90.00 and 90.00 degrees. The asymmetric unit holds Al at (0.000, 0.000, 0.000), Si at (0.500, 0.500, 0.500), Sn at (0.000, 0.000, 0.500) and Pb at (0.000, 0.500, 0.000).

Its uncorrected energy is -18.3 eV for the cell shown. Its formation energy without anion corrections is 0.7664 eV per atom.